Entry from Alexandria: HfCrI2O after structural relaxation (PBE+U).

Unit cell a=5.758 b=5.758 c=3.645 alpha=90.00 beta=90.00 gamma=90.00
Positions (direct):
Hf: 0.000 0.000 0.000
Cr: 0.500 0.500 0.500
I: 0.000 0.500 0.500
I: 0.500 0.000 0.500
O: 0.500 0.500 0.000

Its space group is No. 123. The value obtained for the total DFT energy (no corrections) is -5.237 eV per atom.